# Ba4ZrN4 (PBE, relaxed)
data_Ba4ZrN4
_space_group_name_H-M_alt 'P -1'
_space_group_IT_number 2
_space_group_name_Hall '-P 1'
_cell_length_a 6.944
_cell_length_b 6.959
_cell_length_c 10.082
_cell_angle_alpha 71.73
_cell_angle_beta 79.13
_cell_angle_gamma 65.90
loop_
_atom_site_label
_atom_site_type_symbol
_atom_site_fract_x
_atom_site_fract_y
_atom_site_fract_z
Ba1 Ba 0.219 0.472 0.116
Ba2 Ba 0.231 0.922 0.338
Ba3 Ba 0.251 0.265 0.532
Ba4 Ba 0.280 0.009 0.935
Zr1 Zr 0.280 0.656 0.742
N1 N 0.040 0.817 0.876
N2 N 0.107 0.680 0.579
N3 N 0.455 0.343 0.872
N4 N 0.480 0.836 0.687
# Total magnetic moment = 0.00 μB/f.u.
# Uncorrected formation energy = -0.76 eV per atom
# DFT total energy = -6.268 eV/atom
# V = 23.40 Å³/atom